# 1
Compound: La2DyZn3
Source: Alexandria
Functional: PBE
Structure: optimized geometry

a = 3.678 Å, b = 3.678 Å, c = 11.190 Å
α = 90.00°, β = 90.00°, γ = 90.00°
Atoms (fractional coordinates):
La: 0.000 0.000 0.173
La: 0.000 0.000 0.827
Dy: 0.000 0.000 0.500
Zn: 0.500 0.500 0.000
Zn: 0.500 0.500 0.352
Zn: 0.500 0.500 0.648

Summary:
Its formation enthalpy at 0 K is -0.31 eV/atom. The value obtained for the excess energy over the best structure of this formula in the dataset is 0.0000 eV per atom. As for the total energy: -3.36 eV/atom.

# 2
Compound: La2Dy3Zn3
Source: Alexandria
Functional: PBE
Structure: optimized geometry

a = 11.575 Å, b = 11.575 Å, c = 11.575 Å
α = 161.75°, β = 154.39°, γ = 31.62°
Atoms (fractional coordinates):
La: 0.226 0.226 0.000
La: 0.774 0.774 0.000
Dy: 0.000 0.000 0.000
Dy: 0.388 0.888 0.500
Dy: 0.612 0.112 0.500
Zn: 0.108 0.608 0.500
Zn: 0.500 0.500 0.000
Zn: 0.892 0.392 0.500

Summary:
Its formation enthalpy at 0 K is -0.22 eV/atom. As for the total energy: -3.65 eV/atom.